Entry from the Alexandria database: crystalline RbMgTl3Cd at its relaxed geometry (GGA-PBE).

VASP energy in eV for the cell shown: -21.61
D(E_F) in states/eV per atom: 0.5717
ΔE_f in eV/atom: -0.04

abc: 4.8517 9.3602 9.2472
angles: 90.00 90.00 105.02
Positions (direct):
1 Tl 0.8815 0.7630 0.2500
2 Tl 0.6147 0.2294 0.5119
3 Tl 0.3853 0.7706 0.0119
4 Tl 0.6147 0.2294 0.9881
5 Tl 0.1185 0.2370 0.7500
6 Tl 0.3853 0.7706 0.4881
7 Rb 0.7934 0.5867 0.7500
8 Rb 0.2066 0.4133 0.2500
9 Mg 0.0000 0.0000 0.5000
10 Mg 0.0000 0.0000 0.0000
11 Cd 0.5134 0.0267 0.2500
12 Cd 0.4866 0.9733 0.7500